Material: Sm2TmBi
Method: DFT, PBE
State: optimized geometry

Values from the calculation:
**Energy above the lowest structure with this stoichiometry**: 0.00 eV per formula unit
**Space-group type**: P4/mmm (123)

Cell lengths 4.268, 4.268, 6.792 Å; angles 90.00, 90.00, 90.00 degrees
Sites, in units of the cell vectors:
Tm  0.500  0.500  0.000
Bi  0.500  0.500  0.500
Sm  0.000  0.000  0.740
Sm  0.000  0.000  0.260

Material: SmTm2Bi4
Method: DFT, PBE
State: optimized geometry

Values from the calculation:
**Space-group type**: Cmcm (63)

Cell lengths 4.505, 6.121, 16.962 Å; angles 90.00, 90.00, 111.59 degrees
Sites, in units of the cell vectors:
Sm  0.558  0.116  0.750
Sm  0.442  0.884  0.250
Tm  0.159  0.317  0.426
Tm  0.841  0.683  0.926
Tm  0.159  0.317  0.074
Tm  0.841  0.683  0.574
Bi  0.847  0.694  0.120
Bi  0.847  0.694  0.380
Bi  0.153  0.306  0.880
Bi  0.153  0.306  0.620
Bi  0.849  0.699  0.750
Bi  0.151  0.301  0.250
Bi  0.500  0.000  0.000
Bi  0.500  0.000  0.500

Material: SmTmBi2
Method: DFT, PBE
State: optimized geometry

Values from the calculation:
**Energy above the lowest structure with this stoichiometry**: 0.44 eV per formula unit
**Space-group type**: R3m (160)

Cell lengths 4.468, 4.468, 8.050 Å; angles 73.89, 73.89, 60.00 degrees
Sites, in units of the cell vectors:
Sm  0.669  0.669  0.994
Tm  0.498  0.498  0.506
Bi  0.084  0.084  0.747
Bi  0.249  0.249  0.253

| no. | M_tot (Bohr magnetons per cell) | energy of formation (eV per atom) |
| --- | --- | --- |
| 1 | 0.000 | -0.39 |
| 2 | 0.000 | -0.58 |
| 3 | 0.000 | -0.74 |